{"formula": "LaPaTc", "functional": "PBE", "state": "optimized geometry", "dos_at_fermi_per_ev_fu": 3.5, "e_above_lowest_polymorph_kj_per_mol_fu": 0, "space_group": "I4mm, No. 107", "magmom_total_mub_per_cell": 0.00, "lattice": [[-1.7563, 1.7563, 5.7980], [1.7563, -1.7563, 5.7980], [1.7563, 1.7563, -5.7980]], "species": ["La", "Pa", "Tc"], "frac_coords": [[0.0000, 0.0000, 0.0000], [0.6940, 0.6940, 0.0000], [0.3022, 0.3022, 0.0000]]}